[1]
Compound: Pr2ZnSn3Pt4
Source: the Alexandria database
Functional: PBE-GGA
Structure: optimized geometry

a = 4.551 Å, b = 4.551 Å, c = 10.670 Å
α = 90.00°, β = 90.00°, γ = 90.00°
Positions (direct):
1 Pt 0.000 0.500 0.374
2 Pt 0.500 0.000 0.626
3 Pt 0.500 0.500 0.000
4 Pt 0.000 0.000 0.000
5 Pr 0.000 0.500 0.747
6 Pr 0.500 0.000 0.253
7 Sn 0.000 0.500 0.131
8 Sn 0.500 0.000 0.869
9 Sn 0.000 0.000 0.500
10 Zn 0.500 0.500 0.500

## Properties
- density (g/cm³) = 11.1
- SG = P-4m2
- formation energy from the elements (eV per atom) = -0.83
- spin magnetization (μB/f.u.) = 0.0

=====

[2]
Compound: TeHS6
Source: the Alexandria database
Functional: PBE-GGA
Structure: optimized geometry

a = 8.938 Å, b = 9.524 Å, c = 5.168 Å
α = 66.14°, β = 50.49°, γ = 41.97°
Positions (direct):
1 H 0.000 0.000 0.000
2 S 0.242 0.454 0.167
3 S 0.291 0.872 0.638
4 S 0.758 0.546 0.833
5 S 0.709 0.128 0.362
6 S 0.515 0.159 0.208
7 S 0.485 0.841 0.792
8 Te 0.500 0.500 0.500

## Properties
- density (g/cm³) = 2.4
- SG = P-1
- spin magnetization (μB/f.u.) = 0.0

=====

[3]
Compound: CuTe2Au
Source: the Alexandria database
Functional: PBE-GGA
Structure: optimized geometry

a = 4.633 Å, b = 4.578 Å, c = 4.576 Å
α = 75.28°, β = 90.00°, γ = 90.00°
Positions (direct):
1 Te 0.500 0.321 0.321
2 Te 0.000 0.922 0.922
3 Au 0.000 0.525 0.525
4 Cu 0.500 0.732 0.732

## Properties
- density (g/cm³) = 9.1
- SG = Amm2
- spin magnetization (μB/f.u.) = 0.0
- formation energy (no corrections) (kcal/mol of atoms) = -0.1

=====

[4]
Compound: MnFeBr2
Source: the Alexandria database
Functional: PBE-GGA
Structure: optimized geometry

a = 4.722 Å, b = 4.722 Å, c = 3.329 Å
α = 90.00°, β = 90.00°, γ = 90.00°
Each line ends with the local moment (μB).
Positions (direct):
1 Br 0.000 0.000 0.000  0.10
2 Br 0.500 0.500 0.000  0.10
3 Mn 0.000 0.500 0.500  3.89
4 Fe 0.500 0.000 0.500  2.88

## Properties
- density (g/cm³) = 6.1
- SG = P4/mmm
- spin magnetization (μB/f.u.) = 7.1
- formation energy (no corrections) (kcal/mol of atoms) = 10.5

=====

no.,VASP energy (eV per atom)
1,-5.53
2,-3.78
3,-3.42
4,-4.79